(1)
A plane-wave DFT calculation with PBE was carried out for a relaxed structure of La4PmNd2.

a b c (Å): 7.113 7.291 10.617
angles (deg): 89.99 90.00 71.27
Space group P-1 (No. 2)
Inequivalent atoms, fractional coordinates:
La (0.192, 0.274, 0.288) [2 per cell]
La (0.193, 0.272, 0.712) [2 per cell]
La (0.306, 0.727, 0.211) [2 per cell]
La (0.308, 0.725, 0.790) [2 per cell]
Pm (0.000, 0.000, 0.000) [1 per cell]
Pm (0.000, 0.500, 0.000) [1 per cell]
Nd (0.000, 0.000, 0.500) [1 per cell]
Nd (0.500, 0.000, 0.000) [1 per cell]
Nd (0.500, 0.000, 0.500) [1 per cell]
Nd (0.500, 0.500, 0.500) [1 per cell]

Computed properties:
ΔE to the lowest computed polymorph: 0.00 eV per formula unit
V: 521 Å³/cell
E_form: 159 meV per atom

---

(2)
A plane-wave DFT calculation with PBE was carried out for a relaxed structure of LaPm4Nd6.

a b c (Å): 11.3109 11.3109 3.6344
angles (deg): 90.00 90.00 120.00
Space group P-6m2 (No. 187)
Inequivalent atoms, fractional coordinates:
La (0.0000, 0.0000, 0.0000) [1 per cell]
Pm (0.3333, 0.6667, 0.0000) [1 per cell]
Pm (0.3392, 0.1696, 0.5000) [3 per cell]
Nd (0.1792, 0.3585, 0.5000) [3 per cell]
Nd (0.5143, 0.0285, 0.0000) [3 per cell]

Computed properties:
V: 403 Å³/cell
E_form: 149 meV per atom

---

(3)
A plane-wave DFT calculation with PBE was carried out for a relaxed structure of La3Pm5Nd4.

a b c (Å): 6.385 7.360 9.048
angles (deg): 89.98 89.93 89.91
Space group P-1 (No. 2)
Inequivalent atoms, fractional coordinates:
La (0.000, 0.000, 0.000) [1 per cell]
La (0.167, 0.250, 0.332) [2 per cell]
Pm (0.000, 0.500, 0.000) [1 per cell]
Pm (0.334, 0.001, 0.667) [2 per cell]
Pm (0.499, 0.749, 0.000) [2 per cell]
Nd (0.168, 0.750, 0.333) [2 per cell]
Nd (0.332, 0.500, 0.668) [2 per cell]

Computed properties:
ΔE to the lowest computed polymorph: 0.00 eV per formula unit
V: 425 Å³/cell
E_form: 15 meV per atom

---

(4)
A plane-wave DFT calculation with PBE was carried out for a relaxed structure of LaPm3Nd12.

a b c (Å): 5.205 5.205 20.808
angles (deg): 90.00 90.00 90.00
Space group P4/mmm (No. 123)
Inequivalent atoms, fractional coordinates:
La (0.000, 0.000, 0.000) [1 per cell]
Pm (0.000, 0.000, 0.250) [2 per cell]
Pm (0.000, 0.000, 0.500) [1 per cell]
Nd (0.000, 0.500, 0.126) [4 per cell]
Nd (0.000, 0.500, 0.375) [4 per cell]
Nd (0.500, 0.500, 0.000) [1 per cell]
Nd (0.500, 0.500, 0.251) [2 per cell]
Nd (0.500, 0.500, 0.500) [1 per cell]

Computed properties:
V: 564 Å³/cell
E_form: 11 meV per atom

---

(5)
A plane-wave DFT calculation with PBE was carried out for a relaxed structure of La12PmNd7.

a b c (Å): 19.8108 19.8108 6.4578
angles (deg): 90.00 90.00 120.00
Space group R-3m (No. 166, hexagonal axes)
Inequivalent atoms, fractional coordinates:
La (0.0000, 0.4075, 0.0000) [18 per cell]
La (0.0956, 0.5478, 0.4779) [18 per cell]
Pm (0.0000, 0.0000, 0.5000) [3 per cell]
Nd (0.0000, 0.0000, 0.0000) [3 per cell]
Nd (0.0844, 0.1688, 0.2975) [18 per cell]

Computed properties:
ΔE to the lowest computed polymorph: 0.08 eV per formula unit
V: 2195 Å³/cell
E_form: 179 meV per atom

---

(6)
A plane-wave DFT calculation with PBE was carried out for a relaxed structure of LaPm7Nd5.

a b c (Å): 6.848 11.423 11.953
angles (deg): 90.00 90.00 90.00
Space group Imm2 (No. 44)
Inequivalent atoms, fractional coordinates:
La (0.000, 0.000, 0.000) [2 per cell]
Pm (0.000, 0.000, 0.307) [2 per cell]
Pm (0.000, 0.000, 0.607) [2 per cell]
Pm (0.000, 0.326, 0.045) [4 per cell]
Pm (0.000, 0.331, 0.545) [4 per cell]
Pm (0.000, 0.500, 0.787) [2 per cell]
Nd (0.000, 0.500, 0.272) [2 per cell]
Nd (0.232, 0.231, 0.803) [8 per cell]

Computed properties:
V: 935 Å³/cell
E_form: 218 meV per atom

---

(7)
A plane-wave DFT calculation with PBE was carried out for a relaxed structure of La4Pm2Nd.

a b c (Å): 3.654 5.977 23.359
angles (deg): 90.00 90.00 90.00
Space group Immm (No. 71)
Inequivalent atoms, fractional coordinates:
La (0.000, 0.000, 0.083) [4 per cell]
La (0.000, 0.000, 0.363) [4 per cell]
Pm (0.000, 0.500, 0.276) [4 per cell]
Nd (0.000, 0.500, 0.000) [2 per cell]

Computed properties:
ΔE to the lowest computed polymorph: 0.00 eV per formula unit
V: 510 Å³/cell
E_form: 81 meV per atom

---

(8)
A plane-wave DFT calculation with PBE was carried out for a relaxed structure of La5Pm12Nd.

a b c (Å): 11.863 17.655 6.109
angles (deg): 90.00 90.13 90.00
Space group C2/m (No. 12)
Inequivalent atoms, fractional coordinates:
La (0.000, 0.000, 0.000) [2 per cell]
La (0.000, 0.166, 0.500) [4 per cell]
La (0.000, 0.334, 0.000) [4 per cell]
Pm (0.178, 0.333, 0.554) [8 per cell]
Pm (0.178, 0.500, 0.943) [4 per cell]
Pm (0.179, 0.167, 0.946) [8 per cell]
Pm (0.181, 0.000, 0.557) [4 per cell]
Nd (0.000, 0.500, 0.500) [2 per cell]

Computed properties:
V: 1280 Å³/cell
E_form: 84 meV per atom

---

(9)
A plane-wave DFT calculation with PBE was carried out for a relaxed structure of La3Pm2Nd5.

a b c (Å): 12.358 17.518 6.675
angles (deg): 90.00 90.00 90.00
Space group Ibam (No. 72)
Inequivalent atoms, fractional coordinates:
La (0.000, 0.000, 0.250) [4 per cell]
La (0.083, 0.331, 0.000) [8 per cell]
Pm (0.091, 0.168, 0.500) [8 per cell]
Nd (0.000, 0.500, 0.250) [4 per cell]
Nd (0.243, 0.168, 0.000) [8 per cell]
Nd (0.249, 0.500, 0.250) [8 per cell]

Computed properties:
ΔE to the lowest computed polymorph: 0.82 eV per formula unit
V: 1445 Å³/cell
E_form: 244 meV per atom

---

(10)
A plane-wave DFT calculation with PBE was carried out for a relaxed structure of La4PmNd4.

a b c (Å): 11.092 11.092 5.259
angles (deg): 90.00 90.00 90.00
Space group I4/mmm (No. 139)
Inequivalent atoms, fractional coordinates:
La (0.167, 0.167, 0.000) [8 per cell]
Pm (0.000, 0.000, 0.500) [2 per cell]
Nd (0.000, 0.334, 0.500) [8 per cell]

Computed properties:
ΔE to the lowest computed polymorph: 0.00 eV per formula unit
V: 647 Å³/cell
E_form: 15 meV per atom

---

(11)
A plane-wave DFT calculation with PBE was carried out for a relaxed structure of La2Pm3Nd6.

a b c (Å): 4.858 4.858 34.585
angles (deg): 90.00 90.00 90.00
Space group I4/mmm (No. 139)
Inequivalent atoms, fractional coordinates:
La (0.000, 0.000, 0.045) [4 per cell]
Pm (0.000, 0.000, 0.303) [4 per cell]
Pm (0.000, 0.000, 0.500) [2 per cell]
Nd (0.000, 0.000, 0.203) [4 per cell]
Nd (0.000, 0.500, 0.122) [8 per cell]

Computed properties:
ΔE to the lowest computed polymorph: 1.20 eV per formula unit
V: 816 Å³/cell
E_form: 251 meV per atom

---

(12)
A plane-wave DFT calculation with PBE was carried out for a relaxed structure of La2PmNd9.

a b c (Å): 5.216 5.216 15.661
angles (deg): 90.00 90.00 90.00
Space group P4/mmm (No. 123)
Inequivalent atoms, fractional coordinates:
La (0.000, 0.000, 0.167) [2 per cell]
Pm (0.000, 0.000, 0.500) [1 per cell]
Nd (0.000, 0.500, 0.000) [2 per cell]
Nd (0.000, 0.500, 0.335) [4 per cell]
Nd (0.500, 0.500, 0.168) [2 per cell]
Nd (0.500, 0.500, 0.500) [1 per cell]

Computed properties:
V: 426 Å³/cell
E_form: 13 meV per atom

---

Which value of E_form does entry 6 give?
218 meV per atom

---

The lowest E_form belongs to which entry?
LaPm3Nd12

---

Please write out number 7 again, unchanged.
A plane-wave DFT calculation with PBE was carried out for a relaxed structure of La4Pm2Nd.

a b c (Å): 3.654 5.977 23.359
angles (deg): 90.00 90.00 90.00
Space group Immm (No. 71)
Inequivalent atoms, fractional coordinates:
La (0.000, 0.000, 0.083) [4 per cell]
La (0.000, 0.000, 0.363) [4 per cell]
Pm (0.000, 0.500, 0.276) [4 per cell]
Nd (0.000, 0.500, 0.000) [2 per cell]

Computed properties:
ΔE to the lowest computed polymorph: 0.00 eV per formula unit
V: 510 Å³/cell
E_form: 81 meV per atom

---

The highest E_form belongs to which entry?
La2Pm3Nd6